DFT (GGA-PBEsol) results for KSb2Mo after structural relaxation.

abc: 3.6465 3.6465 8.1436
angles: 90.00 90.00 90.00
Fractional coordinates of all 4 atoms:
1 Sb 0.5000 0.5000 0.1959
2 Sb 0.0000 0.0000 0.9403
3 K 0.0000 0.0000 0.5024
4 Mo 0.5000 0.5000 0.8613

Computed properties:
Space group: No. 99
Formation energy from raw total energies in eV/atom: 0.31
Total magnetization in μB per formula unit: 0.0
Energy above the most stable polymorph in this dataset in meV per atom: 177

DFT (GGA-PBEsol) results for BeSbTe2C after structural relaxation.

abc: 4.6863 4.8414 4.8414
angles: 90.00 90.00 90.00
Last column: magnetic moment on the atom in μB.
Fractional coordinates of all 5 atoms:
1 Sb 0.5000 0.0000 0.0000  -0.02
2 Be 0.0000 0.0000 0.0000  0.00
3 Te 0.0000 0.5000 0.0000  -0.02
4 Te 0.0000 0.0000 0.5000  -0.02
5 C 0.5000 0.5000 0.5000  0.36

Computed properties:
Space group: No. 123
Formation energy from raw total energies in eV/atom: 1.66
Total magnetization in μB per formula unit: 0.6

DFT (GGA-PBEsol) results for NbAuF2 after structural relaxation.

abc: 4.2003 4.2003 4.2003
angles: 60.00 60.00 60.00
Last column: magnetic moment on the atom in μB.
Fractional coordinates of all 4 atoms:
1 Au 0.5000 0.5000 0.5000  0.00
2 Nb 0.0000 0.0000 0.0000  0.18
3 F 0.7500 0.7500 0.7500  0.00
4 F 0.2500 0.2500 0.2500  0.00

Computed properties:
Space group: No. 225
Formation energy from raw total energies in eV/atom: -0.54
Total magnetization in μB per formula unit: 0.2

DFT (GGA-PBEsol) results for CaNbCl2 after structural relaxation.

abc: 4.6312 4.6312 4.6312
angles: 60.00 60.00 60.00
Last column: magnetic moment on the atom in μB.
Fractional coordinates of all 4 atoms:
1 Nb 0.5000 0.5000 0.5000  0.76
2 Cl 0.7500 0.7500 0.7500  0.00
3 Cl 0.2500 0.2500 0.2500  0.00
4 Ca 0.0000 0.0000 0.0000  0.01

Computed properties:
Space group: No. 225
Formation energy from raw total energies in eV/atom: -0.40
Total magnetization in μB per formula unit: 1.0
Energy above the most stable polymorph in this dataset in meV per atom: 61